Compound: Zr3RhF
Source: the Alexandria database
Functional: PBE
Structure: relaxed

Summary:
Magnetization ... 0.30 μB/cell
E_form (uncorrected) ... -0.6239 eV per atom
Raw total energy ... -7.597 eV per atom
Offset from the most stable computed form ... 0 meV/atom

a b c (Å): 4.475 4.475 4.475
angles (deg): 90.00 90.00 90.00
Space group Pm-3m (No. 221)
Unique sites:
1 Zr 0.000 0.000 0.500 [3 per cell]
2 Rh 0.500 0.500 0.500 [1 per cell]
3 F 0.000 0.000 0.000 [1 per cell]

---

Compound: Fe2CuCl
Source: the Alexandria database
Functional: PBE
Structure: relaxed

Summary:
Magnetization ... 11.01 μB/cell
E_form (uncorrected) ... 0.5518 eV per atom
Raw total energy ... -5.165 eV per atom
Offset from the most stable computed form ... 379 meV/atom

a b c (Å): 2.879 4.379 8.653
angles (deg): 90.00 90.00 90.00
Space group Immm (No. 71)
Unique sites:
1 Fe 0.000 0.000 0.238 [4 per cell]
2 Cu 0.000 0.500 0.000 [2 per cell]
3 Cl 0.000 0.500 0.500 [2 per cell]

---

Compound: MnCrCu2
Source: the Alexandria database
Functional: PBE
Structure: relaxed

Summary:
Magnetization ... 2.13 μB/cell
Raw total energy ... -6.569 eV per atom

a b c (Å): 2.813 4.033 8.270
angles (deg): 90.00 90.00 90.00
Space group Cmm2 (No. 35)
Unique sites:
1 Mn 0.000 0.000 0.000 [2 per cell]
2 Cr 0.000 0.500 0.233 [2 per cell]
3 Cu 0.000 0.000 0.492 [2 per cell]
4 Cu 0.000 0.500 0.745 [2 per cell]

---

Compound: Ta2PCl
Source: the Alexandria database
Functional: PBE
Structure: relaxed

Summary:
Magnetization ... 0.00 μB/cell
E_form (uncorrected) ... -0.2920 eV per atom
Raw total energy ... -8.032 eV per atom
Offset from the most stable computed form ... 29 meV/atom

a b c (Å): 3.474 4.782 9.678
angles (deg): 90.00 90.00 90.00
Space group Cmm2 (No. 35)
Unique sites:
1 Ta 0.000 0.000 0.000 [2 per cell]
2 Ta 0.000 0.500 0.236 [2 per cell]
3 P 0.000 0.500 0.813 [2 per cell]
4 Cl 0.000 0.000 0.429 [2 per cell]

---

Compound: K2Ge2Bi
Source: the Alexandria database
Functional: PBE
Structure: relaxed

Summary:
Magnetization ... 0.00 μB/cell
Raw total energy ... -3.179 eV per atom
Offset from the most stable computed form ... 0 meV/atom

a b c (Å): 7.671 7.671 5.483
angles (deg): 90.00 90.00 90.00
Space group P4/mbm (No. 127)
Unique sites:
1 K 0.191 0.309 0.000 [4 per cell]
2 Ge 0.110 0.610 0.500 [4 per cell]
3 Bi 0.000 0.000 0.500 [2 per cell]

---

Compound: AcNbBi
Source: the Alexandria database
Functional: PBE
Structure: relaxed

Summary:
Magnetization ... 0.00 μB/cell
Raw total energy ... -6.036 eV per atom

a b c (Å): 7.413 6.546 9.053
angles (deg): 90.00 114.03 90.00
Space group C2/m (No. 12)
Unique sites:
1 Ac 0.126 0.000 0.252 [4 per cell]
2 Nb 0.152 0.500 0.000 [4 per cell]
3 Bi 0.167 0.500 0.335 [4 per cell]

---

The highest magnetization belongs to which entry?
Fe2CuCl

---

Repeat the fifth record exactly.
Compound: K2Ge2Bi
Source: the Alexandria database
Functional: PBE
Structure: relaxed

Summary:
Magnetization ... 0.00 μB/cell
Raw total energy ... -3.179 eV per atom
Offset from the most stable computed form ... 0 meV/atom

a b c (Å): 7.671 7.671 5.483
angles (deg): 90.00 90.00 90.00
Space group P4/mbm (No. 127)
Unique sites:
1 K 0.191 0.309 0.000 [4 per cell]
2 Ge 0.110 0.610 0.500 [4 per cell]
3 Bi 0.000 0.000 0.500 [2 per cell]

---

Look up the raw total energy of the first one.
-7.597 eV per atom